No. 1
Below is a relaxed structure of BePd2Pb, with properties calculated at the PBE level.

It has space group I-42d (No. 122), with a = 4.799 Å, b = 4.799 Å, c = 14.217 Å, α = 90.00°, β = 90.00° and γ = 90.00°. The distinct sites, in fractional coordinates, are Be at (0.000, 0.000, 0.000), Pd at (0.133, 0.250, 0.125) and Pb at (0.000, 0.000, 0.500).

Its volume is 20.467 Å³/atom. The electronic total energy is -4.354 eV per atom. As for the excess energy over the best structure of this formula in the dataset: 342 meV/atom.

***

No. 2
Below is a relaxed structure of In2Au2S, with properties calculated at the PBE level.

It has space group P4/mbm (No. 127), with a = 7.339 Å, b = 7.339 Å, c = 4.056 Å, α = 90.00°, β = 90.00° and γ = 90.00°. The distinct sites, in fractional coordinates, are In at (0.170, 0.330, 0.000), Au at (0.136, 0.636, 0.500) and S at (0.000, 0.000, 0.500).

Its volume is 21.843 Å³/atom. The electronic total energy is -3.252 eV per atom. For the uncorrected formation energy, the calculation gives -0.10 eV per formula unit. As for the excess energy over the best structure of this formula in the dataset: 0 meV/atom.

***

No. 3
Below is a relaxed structure of PaInPb2Se5, with properties calculated at the PBE level.

It has space group Cmc2_1 (No. 36), with a = 4.198 Å, b = 18.061 Å, c = 16.095 Å, α = 90.00°, β = 90.00° and γ = 90.00°. The distinct sites, in fractional coordinates, are Pa at (0.000, 0.222, 0.000), In at (0.000, 0.090, 0.387), Pb at (0.000, 0.351, 0.208), Pb at (0.000, 0.462, 0.599), Se at (0.000, 0.042, 0.722), Se at (0.000, 0.073, 0.975), Se at (0.000, 0.264, 0.385), Se at (0.000, 0.293, 0.618) and Se at (0.000, 0.374, 0.016).

Its volume is 33.895 Å³/atom. The electronic total energy is -4.903 eV per atom. For the uncorrected formation energy, the calculation gives -7.06 eV per formula unit.

***

Q: Among the records above, which one has the highest electronic total energy?
A: In2Au2S

***

Q: Which value of electronic total energy does entry 2 give?
A: -3.252 eV per atom

***

Repeat the second record exactly.
Below is a relaxed structure of In2Au2S, with properties calculated at the PBE level.

It has space group P4/mbm (No. 127), with a = 7.339 Å, b = 7.339 Å, c = 4.056 Å, α = 90.00°, β = 90.00° and γ = 90.00°. The distinct sites, in fractional coordinates, are In at (0.170, 0.330, 0.000), Au at (0.136, 0.636, 0.500) and S at (0.000, 0.000, 0.500).

Its volume is 21.843 Å³/atom. The electronic total energy is -3.252 eV per atom. For the uncorrected formation energy, the calculation gives -0.10 eV per formula unit. As for the excess energy over the best structure of this formula in the dataset: 0 meV/atom.